VASP calculation (PBE-GGA) on a relaxed structure of NaMg4Ge2.

Cell: 4.427 8.504 8.504 Å, 90.00 90.00 90.00°
Atoms (fractional coordinates):
Mg  0.500  0.181  0.571
Mg  0.000  0.929  0.681
Mg  0.000  0.681  0.929
Mg  0.500  0.819  0.429
Mg  0.000  0.071  0.319
Mg  0.500  0.429  0.819
Mg  0.000  0.319  0.071
Mg  0.500  0.571  0.181
Na  0.500  0.000  0.000
Na  0.000  0.500  0.500
Ge  0.000  0.757  0.243
Ge  0.500  0.743  0.743
Ge  0.000  0.243  0.757
Ge  0.500  0.257  0.257

Values from the calculation:
E_tot	-2.5841	eV/atom

VASP calculation (PBE-GGA) on a relaxed structure of Na2Mg2Ge.

Cell: 7.025 7.025 5.438 Å, 90.00 90.00 90.00°
Atoms (fractional coordinates):
Na  0.675  0.825  0.500
Na  0.825  0.325  0.500
Na  0.175  0.675  0.500
Na  0.325  0.175  0.500
Mg  0.151  0.349  0.000
Mg  0.849  0.651  0.000
Mg  0.349  0.849  0.000
Mg  0.651  0.151  0.000
Ge  0.500  0.500  0.000
Ge  0.000  0.000  0.000

Values from the calculation:
E_tot	-2.0649	eV/atom

VASP calculation (PBE-GGA) on a relaxed structure of NaMgGe.

Cell: 4.300 4.300 7.785 Å, 90.00 90.00 90.00°
Atoms (fractional coordinates):
Na  0.500  0.000  0.134
Na  0.000  0.500  0.866
Mg  0.000  0.000  0.500
Mg  0.500  0.500  0.500
Ge  0.500  0.000  0.732
Ge  0.000  0.500  0.268

Values from the calculation:
E_tot	-2.6399	eV/atom